P) An optimized crystal structure of NbSe2SBr, computed with PBE.

a = 4.824 Å, b = 4.824 Å, c = 5.002 Å
α = 90.00°, β = 90.00°, γ = 90.00°
Last column: magnetic moment on the atom in μB.
Fractional positions:
S (0.000, 0.000, 0.000)  -0.03
Nb (0.500, 0.500, 0.500)  2.40
Se (0.000, 0.500, 0.000)  -0.16
Se (0.500, 0.000, 0.000)  -0.16
Br (0.000, 0.000, 0.500)  -0.08

Values from the calculation:
mass density	5.2	g/cm3
DOS at the Fermi energy	0.7336	states/eV/atom
SG	P4/mmm, No. 123
total magnetization	2.4	μB/cell


Q) An optimized crystal structure of NbSe2SBr, computed with PBE.

a = 5.025 Å, b = 5.025 Å, c = 5.245 Å
α = 90.00°, β = 90.00°, γ = 90.00°
Last column: magnetic moment on the atom in μB.
Fractional positions:
S (0.500, 0.500, 0.500)  0.97
Nb (0.000, 0.000, 0.000)  0.10
Se (0.000, 0.500, 0.000)  0.06
Se (0.500, 0.000, 0.000)  0.06
Br (0.000, 0.000, 0.500)  0.06

Values from the calculation:
mass density	4.5	g/cm3
DOS at the Fermi energy	1.0869	states/eV/atom
SG	P4/mmm, No. 123
total magnetization	2.0	μB/cell


Most stable one: Q), least stable one: P).


P) An optimized crystal structure of Nb3SbBr, computed with PBE.

a = 5.137 Å, b = 5.137 Å, c = 5.137 Å
α = 90.00°, β = 90.00°, γ = 90.00°
Fractional positions:
Sb (0.000, 0.000, 0.000)
Nb (0.000, 0.500, 0.000)
Nb (0.000, 0.000, 0.500)
Nb (0.500, 0.000, 0.000)
Br (0.500, 0.500, 0.500)

Values from the calculation:
mass density	5.9	g/cm3
DOS at the Fermi energy	0.8384	states/eV/atom
SG	Pm-3m, No. 221
total magnetization	0.0	μB/cell


Q) An optimized crystal structure of Nb3SbBr, computed with PBE.

a = 4.768 Å, b = 4.768 Å, c = 4.768 Å
α = 90.00°, β = 90.00°, γ = 90.00°
Fractional positions:
Sb (0.500, 0.500, 0.500)
Nb (0.000, 0.500, 0.000)
Nb (0.000, 0.000, 0.500)
Nb (0.500, 0.000, 0.000)
Br (0.000, 0.000, 0.000)

Values from the calculation:
mass density	7.4	g/cm3
DOS at the Fermi energy	0.8533	states/eV/atom
SG	Pm-3m, No. 221
total magnetization	0.0	μB/cell


Most stable one: Q), least stable one: P).


P) An optimized crystal structure of NbSbTe2Br, computed with PBE.

a = 5.329 Å, b = 5.329 Å, c = 5.519 Å
α = 90.00°, β = 90.00°, γ = 90.00°
Fractional positions:
Sb (0.000, 0.000, 0.500)
Nb (0.000, 0.000, 0.000)
Te (0.000, 0.500, 0.000)
Te (0.500, 0.000, 0.000)
Br (0.500, 0.500, 0.500)

Values from the calculation:
mass density	5.8	g/cm3
DOS at the Fermi energy	0.7616	states/eV/atom
SG	P4/mmm, No. 123
total magnetization	0.0	μB/cell


Q) An optimized crystal structure of NbSbTe2Br, computed with PBE.

a = 5.468 Å, b = 5.468 Å, c = 5.300 Å
α = 90.00°, β = 90.00°, γ = 90.00°
Last column: magnetic moment on the atom in μB.
Fractional positions:
Sb (0.000, 0.000, 0.500)  -0.01
Nb (0.500, 0.500, 0.500)  0.05
Te (0.000, 0.500, 0.000)  0.04
Te (0.500, 0.000, 0.000)  0.04
Br (0.000, 0.000, 0.000)  0.01

Values from the calculation:
mass density	5.8	g/cm3
DOS at the Fermi energy	1.5194	states/eV/atom
SG	P4/mmm, No. 123
total magnetization	0.2	μB/cell


Most stable one: P), least stable one: Q).


P) An optimized crystal structure of ScNb2Br, computed with PBE.

a = 3.886 Å, b = 3.886 Å, c = 11.209 Å
α = 80.02°, β = 80.02°, γ = 90.00°
Fractional positions:
Sc (0.500, 0.500, 0.000)
Sc (0.250, 0.750, 0.500)
Nb (0.625, 0.125, 0.250)
Nb (0.125, 0.625, 0.250)
Nb (0.375, 0.375, 0.750)
Nb (0.875, 0.875, 0.750)
Br (0.000, 0.000, 0.000)
Br (0.750, 0.250, 0.500)

Values from the calculation:
mass density	6.3	g/cm3
DOS at the Fermi energy	0.9718	states/eV/atom
SG	I-42d, No. 122
total magnetization	0.0	μB/cell


Q) An optimized crystal structure of ScNb2Br, computed with PBE.

a = 4.766 Å, b = 4.766 Å, c = 4.766 Å
α = 60.00°, β = 60.00°, γ = 60.00°
Fractional positions:
Sc (0.000, 0.000, 0.000)
Nb (0.250, 0.250, 0.250)
Nb (0.750, 0.750, 0.750)
Br (0.500, 0.500, 0.500)

Values from the calculation:
mass density	6.7	g/cm3
DOS at the Fermi energy	1.7172	states/eV/atom
SG	Fm-3m, No. 225
total magnetization	0.0	μB/cell


Most stable one: P), least stable one: Q).


P) An optimized crystal structure of ScNbBr2, computed with PBE.

a = 4.787 Å, b = 4.787 Å, c = 4.787 Å
α = 60.00°, β = 60.00°, γ = 60.00°
Last column: magnetic moment on the atom in μB.
Fractional positions:
Sc (0.000, 0.000, 0.000)  0.21
Nb (0.500, 0.500, 0.500)  1.16
Br (0.250, 0.250, 0.250)  0.01
Br (0.750, 0.750, 0.750)  0.01

Values from the calculation:
mass density	6.4	g/cm3
DOS at the Fermi energy	1.0437	states/eV/atom
SG	Fm-3m, No. 225
total magnetization	1.8	μB/cell


Q) An optimized crystal structure of ScNbBr2, computed with PBE.

a = 9.424 Å, b = 9.424 Å, c = 9.424 Å
α = 20.13°, β = 20.13°, γ = 20.13°
Fractional positions:
Sc (0.500, 0.500, 0.500)
Nb (0.000, 0.000, 0.000)
Br (0.904, 0.904, 0.904)
Br (0.096, 0.096, 0.096)

Values from the calculation:
mass density	5.7	g/cm3
DOS at the Fermi energy	0.6414	states/eV/atom
SG	R-3m, No. 166
total magnetization	0.0	μB/cell


Most stable one: Q), least stable one: P).


P) An optimized crystal structure of ScNbSe2Br, computed with PBE.

a = 5.071 Å, b = 5.071 Å, c = 5.104 Å
α = 90.00°, β = 90.00°, γ = 90.00°
Last column: magnetic moment on the atom in μB.
Fractional positions:
Sc (0.500, 0.500, 0.500)  0.84
Nb (0.000, 0.000, 0.000)  0.39
Se (0.000, 0.500, 0.000)  -0.04
Se (0.500, 0.000, 0.000)  -0.04
Br (0.000, 0.000, 0.500)  0.01

Values from the calculation:
mass density	4.8	g/cm3
DOS at the Fermi energy	0.9570	states/eV/atom
SG	P4/mmm, No. 123
total magnetization	1.5	μB/cell


Q) An optimized crystal structure of ScNbSe2Br, computed with PBE.

a = 5.187 Å, b = 5.187 Å, c = 5.006 Å
α = 90.00°, β = 90.00°, γ = 90.00°
Last column: magnetic moment on the atom in μB.
Fractional positions:
Sc (0.000, 0.000, 0.000)  0.03
Nb (0.500, 0.500, 0.500)  2.69
Se (0.000, 0.500, 0.000)  -0.13
Se (0.500, 0.000, 0.000)  -0.13
Br (0.000, 0.000, 0.500)  0.01

Values from the calculation:
mass density	4.6	g/cm3
DOS at the Fermi energy	0.9916	states/eV/atom
SG	P4/mmm, No. 123
total magnetization	3.0	μB/cell


Most stable one: P), least stable one: Q).


P) An optimized crystal structure of ScNbSeBr2, computed with PBE.

a = 5.163 Å, b = 5.163 Å, c = 5.285 Å
α = 90.00°, β = 90.00°, γ = 90.00°
Last column: magnetic moment on the atom in μB.
Fractional positions:
Sc (0.000, 0.000, 0.000)  0.08
Nb (0.500, 0.500, 0.500)  2.99
Se (0.000, 0.000, 0.500)  -0.07
Br (0.000, 0.500, 0.000)  0.01
Br (0.500, 0.000, 0.000)  0.01

Values from the calculation:
mass density	4.4	g/cm3
DOS at the Fermi energy	1.3022	states/eV/atom
SG	P4/mmm, No. 123
total magnetization	3.9	μB/cell


Q) An optimized crystal structure of ScNbSeBr2, computed with PBE.

a = 5.189 Å, b = 5.189 Å, c = 5.094 Å
α = 90.00°, β = 90.00°, γ = 90.00°
Last column: magnetic moment on the atom in μB.
Fractional positions:
Sc (0.500, 0.500, 0.500)  1.02
Nb (0.000, 0.000, 0.000)  0.90
Se (0.000, 0.000, 0.500)  -0.04
Br (0.000, 0.500, 0.000)  0.02
Br (0.500, 0.000, 0.000)  0.02

Values from the calculation:
mass density	4.6	g/cm3
DOS at the Fermi energy	1.1134	states/eV/atom
SG	P4/mmm, No. 123
total magnetization	2.5	μB/cell


Most stable one: P), least stable one: Q).


P) An optimized crystal structure of Nb2SeBr, computed with PBE.

a = 7.306 Å, b = 7.306 Å, c = 6.041 Å
α = 52.79°, β = 52.79°, γ = 90.00°
Fractional positions:
Nb (0.588, 0.125, 0.250)
Nb (0.162, 0.625, 0.250)
Nb (0.375, 0.412, 0.750)
Nb (0.875, 0.838, 0.750)
Se (0.500, 0.500, 0.000)
Se (0.250, 0.750, 0.500)
Br (0.000, 0.000, 0.000)
Br (0.750, 0.250, 0.500)

Values from the calculation:
mass density	6.8	g/cm3
DOS at the Fermi energy	1.3418	states/eV/atom
SG	I-42d, No. 122
total magnetization	0.0	μB/cell


Q) An optimized crystal structure of Nb2SeBr, computed with PBE.

a = 4.617 Å, b = 4.617 Å, c = 4.617 Å
α = 60.00°, β = 60.00°, γ = 60.00°
Fractional positions:
Nb (0.250, 0.250, 0.250)
Nb (0.750, 0.750, 0.750)
Se (0.000, 0.000, 0.000)
Br (0.500, 0.500, 0.500)

Values from the calculation:
mass density	8.2	g/cm3
DOS at the Fermi energy	1.2106	states/eV/atom
SG	Fm-3m, No. 225
total magnetization	0.0	μB/cell


Most stable one: Q), least stable one: P).


P) An optimized crystal structure of NbSeBr2, computed with PBE.

a = 12.034 Å, b = 12.034 Å, c = 12.034 Å
α = 15.75°, β = 15.75°, γ = 15.75°
Last column: magnetic moment on the atom in μB.
Fractional positions:
Nb (0.000, 0.000, 0.000)  0.44
Se (0.500, 0.500, 0.500)  -0.11
Br (0.932, 0.932, 0.932)  -0.01
Br (0.068, 0.068, 0.068)  -0.01

Values from the calculation:
mass density	4.9	g/cm3
DOS at the Fermi energy	0.8380	states/eV/atom
SG	R-3m, No. 166
total magnetization	0.4	μB/cell


Q) An optimized crystal structure of NbSeBr2, computed with PBE.

a = 4.878 Å, b = 4.878 Å, c = 4.878 Å
α = 60.00°, β = 60.00°, γ = 60.00°
Last column: magnetic moment on the atom in μB.
Fractional positions:
Nb (0.500, 0.500, 0.500)  1.11
Se (0.000, 0.000, 0.000)  -0.24
Br (0.250, 0.250, 0.250)  -0.08
Br (0.750, 0.750, 0.750)  -0.08

Values from the calculation:
mass density	6.7	g/cm3
DOS at the Fermi energy	0.4706	states/eV/atom
SG	Fm-3m, No. 225
total magnetization	0.8	μB/cell


R) An optimized crystal structure of NbSeBr2, computed with PBE.

a = 11.342 Å, b = 11.342 Å, c = 11.342 Å
α = 16.49°, β = 16.49°, γ = 16.49°
Fractional positions:
Nb (0.500, 0.500, 0.500)
Se (0.000, 0.000, 0.000)
Br (0.890, 0.890, 0.890)
Br (0.110, 0.110, 0.110)

Values from the calculation:
mass density	5.4	g/cm3
DOS at the Fermi energy	0.8050	states/eV/atom
SG	R-3m, No. 166
total magnetization	0.0	μB/cell


S) An optimized crystal structure of NbSeBr2, computed with PBE.

a = 3.522 Å, b = 5.329 Å, c = 7.303 Å
α = 111.40°, β = 103.95°, γ = 90.00°
Fractional positions:
Nb (0.000, 0.061, 0.000)
Se (0.000, 0.493, 0.000)
Br (0.354, 0.830, 0.708)
Br (0.646, 0.122, 0.292)

Values from the calculation:
mass density	4.5	g/cm3
DOS at the Fermi energy	0.3964	states/eV/atom
SG	Imm2, No. 44
total magnetization	0.0	μB/cell


Most stable one: S), least stable one: Q).


P) An optimized crystal structure of NbSeBr2, computed with PBE.

a = 3.523 Å, b = 5.262 Å, c = 7.748 Å
α = 87.35°, β = 76.80°, γ = 89.99°
Fractional positions:
Nb (0.000, 0.945, 0.000)
Se (0.000, 0.506, 0.000)
Br (0.371, 0.007, 0.256)
Br (0.629, 0.042, 0.744)

Values from the calculation:
mass density	3.9	g/cm3
DOS at the Fermi energy	0.4132	states/eV/atom
SG	Cm, No. 8
total magnetization	0.0	μB/cell


Q) An optimized crystal structure of NbSeBr2, computed with PBE.

a = 9.638 Å, b = 9.638 Å, c = 7.257 Å
α = 48.39°, β = 48.39°, γ = 90.00°
Last column: magnetic moment on the atom in μB.
Fractional positions:
Nb (0.000, 0.000, 0.000)  1.02
Nb (0.750, 0.250, 0.500)  1.02
Se (0.500, 0.500, 0.000)  -0.11
Se (0.250, 0.750, 0.500)  -0.11
Br (0.764, 0.125, 0.250)  -0.02
Br (0.986, 0.625, 0.250)  -0.02
Br (0.375, 0.236, 0.750)  -0.02
Br (0.875, 0.014, 0.750)  -0.02

Values from the calculation:
mass density	4.8	g/cm3
DOS at the Fermi energy	0.1792	states/eV/atom
SG	I-42d, No. 122
total magnetization	2.0	μB/cell


Most stable one: P), least stable one: Q).


P) An optimized crystal structure of SrNbSeBr2, computed with PBE.

a = 5.635 Å, b = 5.635 Å, c = 6.034 Å
α = 90.00°, β = 90.00°, γ = 90.00°
Last column: magnetic moment on the atom in μB.
Fractional positions:
Sr (0.000, 0.000, 0.000)  0.00
Nb (0.500, 0.500, 0.500)  2.85
Br (0.000, 0.500, 0.000)  -0.01
Br (0.500, 0.000, 0.000)  -0.01
Se (0.000, 0.000, 0.500)  -0.28

Values from the calculation:
mass density	3.6	g/cm3
DOS at the Fermi energy	0.8902	states/eV/atom
SG	P4/mmm, No. 123
total magnetization	3.0	μB/cell


Q) An optimized crystal structure of SrNbSeBr2, computed with PBE.

a = 5.302 Å, b = 5.302 Å, c = 5.134 Å
α = 90.00°, β = 90.00°, γ = 90.00°
Last column: magnetic moment on the atom in μB.
Fractional positions:
Sr (0.500, 0.500, 0.500)  0.01
Nb (0.000, 0.000, 0.000)  1.20
Se (0.000, 0.000, 0.500)  -0.02
Br (0.000, 0.500, 0.000)  0.03
Br (0.500, 0.000, 0.000)  0.03

Values from the calculation:
mass density	4.8	g/cm3
DOS at the Fermi energy	0.7234	states/eV/atom
SG	P4/mmm, No. 123
total magnetization	1.5	μB/cell


Most stable one: Q), least stable one: P).


P) An optimized crystal structure of TaNbSeBr2, computed with PBE.

a = 5.107 Å, b = 5.107 Å, c = 5.124 Å
α = 90.00°, β = 90.00°, γ = 90.00°
Last column: magnetic moment on the atom in μB.
Fractional positions:
Nb (0.000, 0.000, 0.000)  0.70
Se (0.000, 0.000, 0.500)  -0.07
Br (0.000, 0.500, 0.000)  0.02
Br (0.500, 0.000, 0.000)  0.02
Ta (0.500, 0.500, 0.500)  2.37

Values from the calculation:
mass density	6.4	g/cm3
DOS at the Fermi energy	1.5255	states/eV/atom
SG	P4/mmm, No. 123
total magnetization	4.5	μB/cell


Q) An optimized crystal structure of TaNbSeBr2, computed with PBE.

a = 5.099 Å, b = 5.099 Å, c = 5.082 Å
α = 90.00°, β = 90.00°, γ = 90.00°
Last column: magnetic moment on the atom in μB.
Fractional positions:
Nb (0.500, 0.500, 0.500)  3.03
Se (0.000, 0.000, 0.500)  -0.06
Br (0.000, 0.500, 0.000)  0.02
Br (0.500, 0.000, 0.000)  0.02
Ta (0.000, 0.000, 0.000)  0.40

Values from the calculation:
mass density	6.4	g/cm3
DOS at the Fermi energy	1.3952	states/eV/atom
SG	P4/mmm, No. 123
total magnetization	4.5	μB/cell


Most stable one: Q), least stable one: P).